1.
# CuIrRh, relaxed, DFT GGA-PBEsol
# Density of states at the Fermi level: 5.35 states/eV per cell
data_CuIrRh
_chemical_formula_sum 'Cu1 Ir1 Rh1'
_symmetry_space_group_name_H-M 'P 3 m 1'
_symmetry_Int_Tables_number 156
_cell_length_a 4.1745
_cell_length_b 4.1745
_cell_length_c 2.6339
_cell_angle_alpha 90.00
_cell_angle_beta 90.00
_cell_angle_gamma 120.00
loop_
_symmetry_equiv_pos_as_xyz
'x,y,z'
'-y,x-y,z'
'-x+y,-x,z'
'-y,-x,z'
'-x+y,y,z'
'x,x-y,z'
loop_
_atom_site_label
_atom_site_fract_x
_atom_site_fract_y
_atom_site_fract_z
Cu1 0.0000 0.0000 0.0000
Ir1 0.6667 0.3333 0.2936
Rh1 0.3333 0.6667 0.7714

---

2.
# CuIrRh2, relaxed, DFT GGA-PBEsol
# Density of states at the Fermi level: 7.91 states/eV per cell
data_CuIrRh2
_chemical_formula_sum 'Cu2 Ir2 Rh4'
_symmetry_space_group_name_H-M 'C 1 m 1'
_symmetry_Int_Tables_number 8
_cell_length_a 8.7486
_cell_length_b 2.6779
_cell_length_c 4.5862
_cell_angle_alpha 90.00
_cell_angle_beta 100.22
_cell_angle_gamma 90.00
loop_
_symmetry_equiv_pos_as_xyz
'x,y,z'
'x,-y,z'
'x+1/2,y+1/2,z'
'x+1/2,-y+1/2,z'
loop_
_atom_site_label
_atom_site_fract_x
_atom_site_fract_y
_atom_site_fract_z
Cu1 0.0000 0.0000 0.0000
Ir1 0.2510 0.5000 0.2563
Rh1 0.2479 0.0000 0.7602
Rh2 0.4979 0.0000 0.4970

---

3.
# CuIrRh2, relaxed, DFT GGA-PBEsol
# Density of states at the Fermi level: 3.43 states/eV per cell
data_CuIrRh2
_chemical_formula_sum 'Cu1 Ir1 Rh2'
_symmetry_space_group_name_H-M 'P 4 m m'
_symmetry_Int_Tables_number 99
_cell_length_a 2.6844
_cell_length_b 2.6844
_cell_length_c 7.3137
_cell_angle_alpha 90.00
_cell_angle_beta 90.00
_cell_angle_gamma 90.00
loop_
_symmetry_equiv_pos_as_xyz
'x,y,z'
'-y,x,z'
'-x,-y,z'
'y,-x,z'
'-x,y,z'
'y,x,z'
'x,-y,z'
'-y,-x,z'
loop_
_atom_site_label
_atom_site_fract_x
_atom_site_fract_y
_atom_site_fract_z
Cu1 0.0000 0.0000 0.0000
Ir1 0.5000 0.5000 0.2481
Rh1 0.0000 0.0000 0.5008
Rh2 0.5000 0.5000 0.7544

---

4.
# Cu2IrRh, relaxed, DFT GGA-PBEsol
# Density of states at the Fermi level: 3.40 states/eV per cell
data_Cu2IrRh
_chemical_formula_sum 'Cu2 Ir1 Rh1'
_symmetry_space_group_name_H-M 'P 4 m m'
_symmetry_Int_Tables_number 99
_cell_length_a 2.6866
_cell_length_b 2.6866
_cell_length_c 7.0143
_cell_angle_alpha 90.00
_cell_angle_beta 90.00
_cell_angle_gamma 90.00
loop_
_symmetry_equiv_pos_as_xyz
'x,y,z'
'-y,x,z'
'-x,-y,z'
'y,-x,z'
'-x,y,z'
'y,x,z'
'x,-y,z'
'-y,-x,z'
loop_
_atom_site_label
_atom_site_fract_x
_atom_site_fract_y
_atom_site_fract_z
Cu1 0.0000 0.0000 0.0000
Cu2 0.5000 0.5000 0.2273
Ir1 0.0000 0.0000 0.4861
Rh1 0.5000 0.5000 0.7440

---

5.
# CuIrRh, relaxed, DFT GGA-PBEsol
# Density of states at the Fermi level: 7.51 states/eV per cell
data_CuIrRh
_chemical_formula_sum 'Cu2 Ir2 Rh2'
_symmetry_space_group_name_H-M 'I m m 2'
_symmetry_Int_Tables_number 44
_cell_length_a 2.6856
_cell_length_b 3.7218
_cell_length_c 7.8486
_cell_angle_alpha 90.00
_cell_angle_beta 90.00
_cell_angle_gamma 90.00
loop_
_symmetry_equiv_pos_as_xyz
'x,y,z'
'-x,-y,z'
'-x,y,z'
'x,-y,z'
'x+1/2,y+1/2,z+1/2'
'-x+1/2,-y+1/2,z+1/2'
'-x+1/2,y+1/2,z+1/2'
'x+1/2,-y+1/2,z+1/2'
loop_
_atom_site_label
_atom_site_fract_x
_atom_site_fract_y
_atom_site_fract_z
Cu1 0.0000 0.0000 0.0000
Ir1 0.0000 0.0000 0.6659
Rh1 0.0000 0.0000 0.3320

---

6.
# CuIrRh2, relaxed, DFT GGA-PBEsol
# Density of states at the Fermi level: 9.73 states/eV per cell
data_CuIrRh2
_chemical_formula_sum 'Cu2 Ir2 Rh4'
_symmetry_space_group_name_H-M 'I 4/m m m'
_symmetry_Int_Tables_number 139
_symmetry_space_group_name_Hall '-I 4 2'
_cell_length_a 3.7376
_cell_length_b 3.7376
_cell_length_c 7.5313
_cell_angle_alpha 90.00
_cell_angle_beta 90.00
_cell_angle_gamma 90.00
loop_
_atom_site_label
_atom_site_fract_x
_atom_site_fract_y
_atom_site_fract_z
Cu1 0.0000 0.0000 0.0000
Ir1 0.0000 0.0000 0.5000
Rh1 0.0000 0.5000 0.2500

---

7.
# CuIr2Rh, relaxed, DFT GGA-PBEsol
# Density of states at the Fermi level: 10.96 states/eV per cell
data_CuIr2Rh
_chemical_formula_sum 'Cu2 Ir4 Rh2'
_symmetry_space_group_name_H-M 'C m m m'
_symmetry_Int_Tables_number 65
_symmetry_space_group_name_Hall '-C 2 2'
_cell_length_a 2.6548
_cell_length_b 4.5970
_cell_length_c 8.9831
_cell_angle_alpha 90.00
_cell_angle_beta 90.00
_cell_angle_gamma 90.00
loop_
_atom_site_label
_atom_site_fract_x
_atom_site_fract_y
_atom_site_fract_z
Cu1 0.0000 0.0000 0.0000
Ir1 0.0000 0.5000 0.2441
Rh1 0.0000 0.0000 0.5000

---

8.
# CuIr2Ru, relaxed, DFT GGA-PBEsol
# Density of states at the Fermi level: 6.34 states/eV per cell
data_CuIr2Ru
_chemical_formula_sum 'Cu1 Ir2 Ru1'
_symmetry_space_group_name_H-M 'P 4/m m m'
_symmetry_Int_Tables_number 123
_symmetry_space_group_name_Hall '-P 4 2'
_cell_length_a 3.7897
_cell_length_b 3.7897
_cell_length_c 3.7320
_cell_angle_alpha 90.00
_cell_angle_beta 90.00
_cell_angle_gamma 90.00
loop_
_atom_site_label
_atom_site_fract_x
_atom_site_fract_y
_atom_site_fract_z
Cu1 0.0000 0.0000 0.0000
Ir1 0.0000 0.5000 0.5000
Ru1 0.5000 0.5000 0.0000

---

For reference, offset from the most stable computed form by record: 211 29 47 0 40 35 212 247 meV per atom.